[1]
A plane-wave DFT calculation with GGA-PBE was carried out for a relaxed Pa4GeSbSe2 crystal.

The space group is I-4m2 (No. 119) and the conventional cell measures 5.8981, 5.8981 and 11.7819 Å, with angles of 90.00, 90.00 and 90.00 degrees. The inequivalent atoms are Pa at (0.0000, 0.0000, 0.2411), Pa at (0.0000, 0.5000, 0.9996), Ge at (0.0000, 0.5000, 0.7500), Sb at (0.0000, 0.0000, 0.5000), Se at (0.0000, 0.0000, 0.0000) and Se at (0.0000, 0.5000, 0.2500).

As for the crystal system: tetragonal. As for the total energy: -0.2763 hartree per atom.


[2]
A plane-wave DFT calculation with GGA-PBE was carried out for a relaxed Pa4GeSbTe2 crystal.

The space group is P2/m (No. 10) and the conventional cell measures 7.2948, 4.2022 and 7.6988 Å, with angles of 90.00, 108.33 and 90.00 degrees. The inequivalent atoms are Pa at (0.2302, 0.0000, 0.2304), Pa at (0.2400, 0.5000, 0.7603), Ge at (0.0000, 0.5000, 0.0000), Sb at (0.0000, 0.0000, 0.5000), Te at (0.5000, 0.0000, 0.0000) and Te at (0.5000, 0.5000, 0.5000).

As for the crystal system: monoclinic. As for the total energy: -0.2635 hartree per atom.